Cs3Np2FeO9: optimized geometry, PBE with a Hubbard U.

The structure belongs to space group P-3m1 (No. 164); the cell edges are 6.0706, 6.0706 and 7.4474 Å and the angles 90.00°, 90.00° and 120.00°. The distinct sites, in fractional coordinates, are Cs at (0.0000, 0.0000, 0.0000), Cs at (0.3333, 0.6667, 0.6633), Np at (0.3333, 0.6667, 0.1762), Fe at (0.0000, 0.0000, 0.5000), O at (0.0000, 0.5000, 0.0000) and O at (0.1701, 0.3402, 0.3303).

The calculation puts the raw total energy at -0.5443 Ry per atom. The calculation puts the calculated volume at 15.85 Å³/atom. The crystal system is trigonal.